1.
# PrDyPt2, optimized geometry, DFT PBE
# Mass density (g/cm³): 11.28
# Energy above the lowest structure with this stoichiometry (meV per atom): 170.1
data_PrDyPt2
_cell_length_a 4.0899
_cell_length_b 4.0899
_cell_length_c 21.1421
_cell_angle_alpha 90.00
_cell_angle_beta 90.00
_cell_angle_gamma 120.00
_space_group_name_H-M_alt 'R 3 m'
_space_group_IT_number 160
_space_group_name_Hall 'R 3 -2"'
loop_
_atom_site_label
_atom_site_fract_x
_atom_site_fract_y
_atom_site_fract_z
Pr1 0.0000 0.0000 0.0000
Dy1 0.0000 0.0000 0.1721
Pt1 0.0000 0.0000 0.5822
Pt2 0.0000 0.0000 0.7566

2.
# Tb3ThSc3, optimized geometry, DFT PBE
# Mass density (g/cm³): 6.75
# Energy above the lowest structure with this stoichiometry (meV per atom): 175.8
data_Tb3ThSc3
_cell_length_a 8.208
_cell_length_b 10.405
_cell_length_c 9.762
_cell_angle_alpha 90.00
_cell_angle_beta 95.01
_cell_angle_gamma 90.00
_space_group_name_H-M_alt 'C 1 2/m 1'
_space_group_IT_number 12
loop_
_space_group_symop_operation_xyz
'x,y,z'
'-x,-y,-z'
'-x,y,-z'
'x,-y,z'
'x+1/2,y+1/2,z'
'-x+1/2,-y+1/2,-z'
'-x+1/2,y+1/2,-z'
'x+1/2,-y+1/2,z'
loop_
_atom_site_label
_atom_site_fract_x
_atom_site_fract_y
_atom_site_fract_z
Tb1 0.000 0.160 0.000
Tb2 0.000 0.229 0.500
Tb3 0.126 0.500 0.855
Th1 0.198 0.500 0.472
Sc1 0.010 0.000 0.282
Sc2 0.213 0.300 0.225

3.
# VSnPd2, optimized geometry, DFT PBE
# Calculated total energy (Ry/atom): -0.4477
# Mass density (g/cm³): 9.48
data_VSnPd2
_cell_length_a 3.373
_cell_length_b 3.373
_cell_length_c 5.889
_cell_angle_alpha 90.00
_cell_angle_beta 90.00
_cell_angle_gamma 90.00
_space_group_name_H-M_alt 'P 4/m m m'
_space_group_IT_number 123
_space_group_name_Hall '-P 4 2'
loop_
_atom_site_label
_atom_site_fract_x
_atom_site_fract_y
_atom_site_fract_z
V1 0.000 0.000 0.000
Sn1 0.000 0.000 0.500
Pd1 0.500 0.500 0.229

What is the mass density in the second record?
6.75 g/cm³